Below is an optimized crystal structure of NdSmSn2, with properties calculated at the PBE level.

POSCAR file:
```
NdSmSn2
1.0
4.9693 0.0000 0.0000
0.0000 4.9693 0.0000
0.0000 0.0000 4.5520
Nd Sm Sn
1 1 2
Cartesian
0.0000 0.0000 0.0000
2.4846 2.4846 0.0000
0.0000 2.4846 2.2760
2.4846 0.0000 2.2760
```

Computed properties:
**ΔH_f (0 K)**: -2.66 eV per formula unit
**Theoretical density**: 7.86 g cm⁻³
**Magnetic moment**: 0.004 μB/cell
**Space-group type**: P4/mmm, No. 123